Entry 1:
# PBE Pt3Cl, optimized geometry
# Distance to the lowest polymorph of the same formula   229 meV/atom
# Formation energy without anion corrections   0.444 eV per atom
# Total magnetization   0.0 μB/f.u.
# Uncorrected energy   -4.548 eV per atom
# DOS(E_F)   10.212 states/eV per cell
data_Pt3Cl
_chemical_formula_sum 'Pt6 Cl2'
_space_group_name_H-M_alt 'I m m 2'
_space_group_IT_number 44
_cell_length_a 2.775
_cell_length_b 11.550
_cell_length_c 4.374
_cell_angle_alpha 90.00
_cell_angle_beta 90.00
_cell_angle_gamma 90.00
loop_
_space_group_symop_operation_xyz
'x,y,z'
'-x,-y,z'
'-x,y,z'
'x,-y,z'
'x+1/2,y+1/2,z+1/2'
'-x+1/2,-y+1/2,z+1/2'
'-x+1/2,y+1/2,z+1/2'
'x+1/2,-y+1/2,z+1/2'
loop_
_atom_site_label
_atom_site_type_symbol
_atom_site_fract_x
_atom_site_fract_y
_atom_site_fract_z
Pt1 Pt 0.000 0.000 0.000
Pt2 Pt 0.000 0.282 0.499
Cl1 Cl 0.000 0.500 0.000



Entry 2:
# PBE Pt3Cl, optimized geometry
# Distance to the lowest polymorph of the same formula   176 meV/atom
# Formation energy without anion corrections   0.391 eV per atom
# Total magnetization   0.0 μB/f.u.
# Uncorrected energy   -4.601 eV per atom
# DOS(E_F)   5.499 states/eV per cell
data_Pt3Cl
_chemical_formula_sum 'Pt3 Cl1'
_space_group_name_H-M_alt 'P 4/m m m'
_space_group_IT_number 123
_space_group_name_Hall '-P 4 2'
_cell_length_a 3.037
_cell_length_b 3.037
_cell_length_c 7.320
_cell_angle_alpha 90.00
_cell_angle_beta 90.00
_cell_angle_gamma 90.00
loop_
_atom_site_label
_atom_site_type_symbol
_atom_site_fract_x
_atom_site_fract_y
_atom_site_fract_z
Pt1 Pt 0.000 0.000 0.000
Pt2 Pt 0.500 0.500 0.228
Cl1 Cl 0.000 0.000 0.500



Entry 3:
# PBE Pt3Cl, optimized geometry
# Distance to the lowest polymorph of the same formula   263 meV/atom
# Formation energy without anion corrections   0.478 eV per atom
# Total magnetization   0.0 μB/f.u.
# Uncorrected energy   -4.514 eV per atom
# DOS(E_F)   10.178 states/eV per cell
data_Pt3Cl
_chemical_formula_sum 'Pt6 Cl2'
_space_group_name_H-M_alt 'I m m m'
_space_group_IT_number 71
_space_group_name_Hall '-I 2 2'
_cell_length_a 2.788
_cell_length_b 4.991
_cell_length_c 9.517
_cell_angle_alpha 90.00
_cell_angle_beta 90.00
_cell_angle_gamma 90.00
loop_
_atom_site_label
_atom_site_type_symbol
_atom_site_fract_x
_atom_site_fract_y
_atom_site_fract_z
Pt1 Pt 0.000 0.000 0.000
Pt2 Pt 0.000 0.500 0.255
Cl1 Cl 0.000 0.000 0.500



> Which value of formation energy without anion corrections does entry 2 give?

0.391 eV per atom



Copy entry 2 word for word.
# PBE Pt3Cl, optimized geometry
# Distance to the lowest polymorph of the same formula   176 meV/atom
# Formation energy without anion corrections   0.391 eV per atom
# Total magnetization   0.0 μB/f.u.
# Uncorrected energy   -4.601 eV per atom
# DOS(E_F)   5.499 states/eV per cell
data_Pt3Cl
_chemical_formula_sum 'Pt3 Cl1'
_space_group_name_H-M_alt 'P 4/m m m'
_space_group_IT_number 123
_space_group_name_Hall '-P 4 2'
_cell_length_a 3.037
_cell_length_b 3.037
_cell_length_c 7.320
_cell_angle_alpha 90.00
_cell_angle_beta 90.00
_cell_angle_gamma 90.00
loop_
_atom_site_label
_atom_site_type_symbol
_atom_site_fract_x
_atom_site_fract_y
_atom_site_fract_z
Pt1 Pt 0.000 0.000 0.000
Pt2 Pt 0.500 0.500 0.228
Cl1 Cl 0.000 0.000 0.500



> Look up the DOS(E_F) of the third one.

10.178 states/eV per cell